[1]
! CsFe3P GGA-PBE relaxed; values from VASP
&SYSTEM
  ibrav = 0, nat = 5, ntyp = 3
/
ATOMIC_SPECIES
Cs 132.91 Cs.upf
P 30.97 P.upf
Fe 55.84 Fe.upf
CELL_PARAMETERS angstrom
4.820 0.000 0.000
0.000 4.820 0.000
0.000 0.000 4.820
ATOMIC_POSITIONS crystal
Cs 0.000 0.000 0.000
P 0.500 0.500 0.500
Fe 0.000 0.500 0.000
Fe 0.000 0.000 0.500
Fe 0.500 0.000 0.000
! ρ: 4.91 g cm⁻³
! Calculated formation energy: 2667 meV/atom

=====

[2]
! Th4Te4Pt GGA-PBE relaxed; values from VASP
&SYSTEM
  ibrav = 0, nat = 9, ntyp = 3
/
ATOMIC_SPECIES
Th 232.04 Th.upf
Te 127.60 Te.upf
Pt 195.08 Pt.upf
CELL_PARAMETERS angstrom
4.213 0.000 0.996
1.770 7.302 1.921
-0.101 0.044 9.837
ATOMIC_POSITIONS crystal
Th 0.311 0.096 0.283
Th 0.689 0.904 0.717
Th 0.915 0.261 0.909
Th 0.085 0.739 0.091
Te 0.689 0.418 0.205
Te 0.897 0.793 0.413
Te 0.311 0.582 0.795
Te 0.103 0.207 0.587
Pt 0.500 0.000 0.000
! ρ: 8.95 g cm⁻³
! Formation energy from raw total energies: -1.180 eV/atom

=====

What is the ρ in the second record? 8.95 g cm⁻³

=====

What is the formula in the first record? CsFe3P

=====

What is the formula in the second record? Th4Te4Pt

=====

Among the records above, which one has the lowest ρ? CsFe3P